Entry 1:
A geometry-optimized PrSmSc4 structure. Source: the Alexandria database, functional PBE.

a = 5.3938 Å, b = 8.5263 Å, c = 9.9138 Å
α = 104.96°, β = 90.01°, γ = 129.21°
Sites, in units of the cell vectors:
Sc  0.5398  0.2892  0.0833
Sm  0.1240  0.8740  0.7480
Sc  0.7077  0.4578  0.4168
Pr  0.6261  0.3761  0.7522
Sc  0.2090  0.9590  0.4168
Sm  0.8760  0.1260  0.2520
Sc  0.2923  0.5422  0.5832
Sc  0.4602  0.7108  0.9167
Sc  0.7910  0.0410  0.5832
Sc  0.0436  0.7941  0.0833
Sc  0.9564  0.2059  0.9167
Pr  0.3739  0.6239  0.2478

Values from the calculation:
Space group: No. 63
Energy of formation from the pure elements (eV per atom): 0.08
ΔE to the lowest computed polymorph (eV per atom): 0.031



Entry 2:
A geometry-optimized Ba2Na5Cd12 structure. Source: the Alexandria database, functional PBE.

a = 8.1093 Å, b = 8.1093 Å, c = 8.1093 Å
α = 81.59°, β = 81.59°, γ = 81.59°
Sites, in units of the cell vectors:
Cd  0.0000  0.2982  0.7018
Cd  0.8405  0.3584  0.3584
Cd  0.7018  0.0000  0.2982
Cd  0.2982  0.0000  0.7018
Cd  0.7018  0.2982  0.0000
Cd  0.6416  0.6416  0.1595
Cd  0.3584  0.8405  0.3584
Cd  0.6416  0.1595  0.6416
Na  0.5000  0.0000  0.0000
Cd  0.1595  0.6416  0.6416
Na  0.9048  0.9048  0.9048
Na  0.0000  0.5000  0.0000
Cd  0.3584  0.3584  0.8405
Cd  0.2982  0.7018  0.0000
Ba  0.6538  0.6538  0.6538
Ba  0.3462  0.3462  0.3462
Na  0.0000  0.0000  0.5000
Na  0.0952  0.0952  0.0952
Cd  0.0000  0.7018  0.2982

Values from the calculation:
Space group: No. 166
Energy of formation from the pure elements (eV per atom): -0.15



Number 1: electronic total energy -5.72 eV per atom. Number 2: electronic total energy -1.28 eV per atom.